1.
This record from the Alexandria database describes Nb5Sn after structural relaxation. The functional is PBE.

## Properties
For the energy, the calculation gives -54.59 eV for the cell shown. For the formation energy, the calculation gives -0.0404 eV per atom. As for the space group: Cmmm, No. 65. As for the polymorph energy (0 for the lowest one): 0.40 eV per formula unit.

abc: 5.4655 5.4655 4.8089
angles: 90.00 90.00 127.92
Sites, in units of the cell vectors:
Nb1 0.0000 0.0000 0.0000
Nb2 0.1713 0.8287 0.5000
Nb3 0.3256 0.6744 0.0000
Nb4 0.6744 0.3256 0.0000
Nb5 0.8287 0.1713 0.5000
Sn1 0.5000 0.5000 0.5000

2.
This record from the Alexandria database describes Co2SiRu2 after structural relaxation. The functional is PBE.

## Properties
For the energy, the calculation gives -75.96 eV for the cell shown. The calculation puts the formation energy without anion corrections at 41 meV/atom. As for the space group: P4/mbm, No. 127. As for the polymorph energy (0 for the lowest one): 0.00 eV per formula unit.

abc: 5.6444 5.6444 3.9461
angles: 90.00 90.00 90.00
Sites, in units of the cell vectors:
Co1 0.1384 0.3616 0.0000
Co2 0.3616 0.8616 0.0000
Co3 0.6384 0.1384 0.0000
Co4 0.8616 0.6384 0.0000
Si1 0.0000 0.0000 0.0000
Si2 0.5000 0.5000 0.0000
Ru1 0.1632 0.6632 0.5000
Ru2 0.3368 0.1632 0.5000
Ru3 0.6632 0.8368 0.5000
Ru4 0.8368 0.3368 0.5000

3.
This record from the Alexandria database describes Mg2ScTcH8 after structural relaxation. The functional is PBE.

## Properties
For the energy, the calculation gives -49.32 eV for the cell shown. As for the space group: I-4m2, No. 119.

abc: 5.5662 5.5662 5.5662
angles: 131.14 131.14 71.59
Sites, in units of the cell vectors:
Mg1 0.0000 0.0000 0.0000
Mg2 0.7500 0.2500 0.5000
Sc1 0.5000 0.5000 0.0000
Tc1 0.2500 0.7500 0.5000
H1 0.1297 0.0972 0.4982
H2 0.1297 0.6315 0.0324
H3 0.3685 0.4009 0.4982
H4 0.3685 0.8703 0.9676
H5 0.5991 0.0972 0.9676
H6 0.5991 0.6315 0.5018
H7 0.9028 0.4009 0.0324
H8 0.9028 0.8703 0.5018

4.
This record from the Alexandria database describes CuTc2Ag after structural relaxation. The functional is PBE.

## Properties
For the energy, the calculation gives -26.15 eV for the cell shown. For the formation energy, the calculation gives 0.3830 eV per atom. As for the space group: Cm, No. 8. As for the polymorph energy (0 for the lowest one): 0.46 eV per formula unit.

abc: 4.6729 4.6729 5.0554
angles: 95.88 95.88 32.87
Sites, in units of the cell vectors:
Cu1 0.0000 0.0000 0.0000
Tc1 0.5016 0.5016 0.4741
Tc2 0.7399 0.7399 0.2808
Ag1 0.2522 0.2522 0.7850

5.
This record from the Alexandria database describes YBSbTe2 after structural relaxation. The functional is PBE.

## Properties
For the energy, the calculation gives -22.85 eV for the cell shown. The calculation puts the formation energy without anion corrections at 140 meV/atom. As for the space group: P4/mmm, No. 123. As for the polymorph energy (0 for the lowest one): 0.00 eV per formula unit.

abc: 4.9233 4.9233 4.9816
angles: 90.00 90.00 90.00
Sites, in units of the cell vectors:
Y1 0.0000 0.0000 0.0000
B1 0.5000 0.5000 0.5000
Sb1 0.5000 0.5000 0.0000
Te1 0.0000 0.5000 0.5000
Te2 0.5000 0.0000 0.5000

6.
This record from the Alexandria database describes Zr2ZnC after structural relaxation. The functional is PBE.

## Properties
For the energy, the calculation gives -55.36 eV for the cell shown. For the formation energy, the calculation gives -0.0218 eV per atom. As for the space group: I-42d, No. 122.

abc: 5.7096 5.7096 5.7096
angles: 109.47 109.47 109.48
Sites, in units of the cell vectors:
Zr1 0.0571 0.1250 0.4321
Zr2 0.3750 0.9429 0.0679
Zr3 0.6929 0.6250 0.5679
Zr4 0.8750 0.3071 0.9321
Zn1 0.2500 0.7500 0.5000
Zn2 0.5000 0.5000 0.0000
C1 0.0000 0.0000 0.0000
C2 0.7500 0.2500 0.5000

7.
This record from the Alexandria database describes Tb4DySc4 after structural relaxation. The functional is PBE.

## Properties
For the energy, the calculation gives -47.98 eV for the cell shown. For the formation energy, the calculation gives 0.0524 eV per atom. As for the space group: I4/mmm, No. 139.

abc: 7.6620 7.6620 7.6620
angles: 95.71 95.71 143.23
Sites, in units of the cell vectors:
Tb1 0.0000 0.3284 0.3284
Tb2 0.0000 0.6716 0.6716
Tb3 0.3284 0.0000 0.3284
Tb4 0.6716 0.0000 0.6716
Dy1 0.0000 0.0000 0.0000
Sc1 0.3337 0.3337 0.6673
Sc2 0.3337 0.6663 0.0000
Sc3 0.6663 0.3337 0.0000
Sc4 0.6663 0.6663 0.3327

8.
This record from the Alexandria database describes ZnAu2Se after structural relaxation. The functional is PBE.

## Properties
For the energy, the calculation gives -11.42 eV for the cell shown. The calculation puts the formation energy without anion corrections at -26 meV/atom. As for the space group: P4/mmm, No. 123.

abc: 3.8740 3.8740 5.4095
angles: 90.00 90.00 90.00
Sites, in units of the cell vectors:
Zn1 0.0000 0.0000 0.0000
Au1 0.0000 0.0000 0.5000
Au2 0.5000 0.5000 0.5000
Se1 0.5000 0.5000 0.0000

no.,magnetic moment (μB/f.u.)
1,0.00
2,1.10
3,0.00
4,0.00
5,0.00
6,0.00
7,0.00
8,0.00